1.
First-principles (PBE) data for a relaxed structure of TbYSi4, as listed in Alexandria.

Cell: 3.878 7.518 7.996 Å, 90.00 90.00 90.00°
Space group Immm (No. 71)
One atom of each set of equivalent atoms:
Tb 0.000 0.000 0.000 [2 per cell]
Y 0.000 0.000 0.500 [2 per cell]
Si 0.000 0.339 0.250 [8 per cell]

Computed properties:
energy relative to the elements, uncorrected: -537 meV/atom
density of states at the Fermi level: 3.4 states/eV/f.u.
volume: 233.1 Å³ per cell
crystal system: orthorhombic
raw total energy: -6.00 eV per atom

***

2.
First-principles (PBE) data for a relaxed structure of TbSc2Cd6, as listed in Alexandria.

Cell: 8.5100 8.5100 3.2877 Å, 90.00 90.00 120.00°
Space group P6/mmm (No. 191)
One atom of each set of equivalent atoms:
Tb 0.0000 0.0000 0.0000 [1 per cell]
Sc 0.3333 0.6667 0.0000 [2 per cell]
Cd 0.0000 0.3369 0.5000 [6 per cell]

Computed properties:
density of states at the Fermi level: 7.8 states/eV/f.u.
E_form: -0.255 eV/atom
volume: 206.2 Å³ per cell
crystal system: hexagonal
raw total energy: -2.79 eV per atom

***

3.
First-principles (PBE) data for a relaxed structure of CsGeAs3, as listed in Alexandria.

Cell: 9.641 6.311 10.947 Å, 90.00 96.07 90.00°
Space group P2_1/c (No. 14)
One atom of each set of equivalent atoms:
Cs 0.148 0.140 0.159 [4 per cell]
Ge 0.496 0.116 0.365 [4 per cell]
As 0.244 0.633 0.361 [4 per cell]
As 0.299 0.540 0.975 [4 per cell]
As 0.485 0.515 0.355 [4 per cell]

Computed properties:
E_form: -0.223 eV/atom
volume: 662.3 Å³ per cell
crystal system: monoclinic
raw total energy: -4.11 eV per atom

***

- Among the records above, which one has the highest raw total energy?
  TbSc2Cd6